Material: Dy6FePd2
Method: DFT, GGA-PBE
State: relaxed

Structure (CIF):
```
data_Dy6FePd2
_symmetry_space_group_name_H-M 'P 1 21/c 1'
_symmetry_Int_Tables_number 14
_cell_length_a 6.4688
_cell_length_b 7.3474
_cell_length_c 11.6415
_cell_angle_alpha 90.00
_cell_angle_beta 122.91
_cell_angle_gamma 90.00
loop_
_symmetry_equiv_pos_as_xyz
'x,y,z'
'-x,-y,-z'
'-x,y+1/2,-z+1/2'
'x,-y+1/2,z+1/2'
loop_
_atom_site_label
_atom_site_type_symbol
_atom_site_fract_x
_atom_site_fract_y
_atom_site_fract_z
Dy1 Dy 0.1073 0.1844 0.4381
Dy2 Dy 0.2720 0.6749 0.4353
Dy3 Dy 0.3888 0.0332 0.2490
Fe1 Fe 0.0000 0.0000 0.0000
Pd1 Pd 0.1853 0.1159 0.7439
```

Calculated values
Fermi-level density of states = 0.8388 states/eV per atom
crystal system = monoclinic
size of the total moment = 0.00 μB per atom
energy = -100.0 eV for the cell shown
formation enthalpy at 0 K = -393 meV per atom